[1]
Th2ZrSc5: optimized geometry, PBE.

Unit cell a=6.652 b=13.300 c=4.697 alpha=90.00 beta=90.00 gamma=90.00
Fractional positions:
Th  0.244  0.124  0.000
Th  0.256  0.624  0.000
Th  0.744  0.376  0.000
Th  0.756  0.876  0.000
Zr  0.000  0.000  0.500
Zr  0.500  0.500  0.500
Sc  0.000  0.500  0.500
Sc  0.005  0.752  0.500
Sc  0.248  0.376  0.000
Sc  0.252  0.876  0.000
Sc  0.495  0.252  0.500
Sc  0.500  0.000  0.500
Sc  0.505  0.748  0.500
Sc  0.748  0.124  0.000
Sc  0.752  0.624  0.000
Sc  0.995  0.248  0.500

Summary:
Crystal system ... orthorhombic
Uncorrected energy ... -6.860 eV/atom
Space-group type ... No. 55

[2]
ThZr2Sc3: optimized geometry, PBE.

Unit cell a=10.075 b=10.075 c=10.629 alpha=120.52 beta=120.52 gamma=19.19
Fractional positions:
Th  0.103  0.103  0.483
Th  0.897  0.897  0.517
Zr  0.226  0.226  0.858
Zr  0.439  0.439  0.298
Zr  0.561  0.561  0.702
Zr  0.774  0.774  0.142
Sc  0.113  0.113  0.991
Sc  0.224  0.224  0.343
Sc  0.445  0.445  0.822
Sc  0.555  0.555  0.178
Sc  0.776  0.776  0.657
Sc  0.887  0.887  0.009

Summary:
Crystal system ... monoclinic
Uncorrected energy ... -7.222 eV/atom
Space-group type ... No. 12

[3]
Th2ZrSc4: optimized geometry, PBE.

Unit cell a=5.220 b=5.220 c=15.769 alpha=90.00 beta=90.00 gamma=119.91
Fractional positions:
Th  0.166  0.834  0.560
Th  0.166  0.834  0.940
Th  0.834  0.166  0.060
Th  0.834  0.166  0.440
Zr  0.499  0.501  0.750
Zr  0.501  0.499  0.250
Sc  0.165  0.835  0.750
Sc  0.168  0.832  0.154
Sc  0.168  0.832  0.346
Sc  0.500  0.500  0.000
Sc  0.500  0.500  0.500
Sc  0.832  0.168  0.654
Sc  0.832  0.168  0.846
Sc  0.835  0.165  0.250

Summary:
Crystal system ... orthorhombic
Uncorrected energy ... -6.746 eV/atom
Space-group type ... No. 63

[4]
Th2ZrSc3: optimized geometry, PBE.

Unit cell a=7.460 b=7.460 c=4.725 alpha=90.00 beta=90.00 gamma=142.74
Fractional positions:
Th  0.163  0.837  0.000
Th  0.837  0.163  0.000
Zr  0.500  0.500  0.000
Sc  0.000  0.000  0.500
Sc  0.337  0.663  0.500
Sc  0.663  0.337  0.500

Summary:
Crystal system ... orthorhombic
Uncorrected energy ... -7.031 eV/atom
Space-group type ... No. 65

[5]
ThZr6Sc12: optimized geometry, PBE.

Unit cell a=8.027 b=8.027 c=8.027 alpha=97.26 beta=97.26 gamma=97.26
Fractional positions:
Th  0.000  0.000  0.000
Zr  0.195  0.195  0.742
Zr  0.195  0.742  0.195
Zr  0.258  0.805  0.805
Zr  0.742  0.195  0.195
Zr  0.805  0.258  0.805
Zr  0.805  0.805  0.258
Sc  0.121  0.500  0.879
Sc  0.121  0.879  0.500
Sc  0.196  0.478  0.478
Sc  0.478  0.196  0.478
Sc  0.478  0.478  0.196
Sc  0.500  0.121  0.879
Sc  0.500  0.879  0.121
Sc  0.522  0.522  0.804
Sc  0.522  0.804  0.522
Sc  0.804  0.522  0.522
Sc  0.879  0.121  0.500
Sc  0.879  0.500  0.121

Summary:
Crystal system ... trigonal
Uncorrected energy ... -6.637 eV/atom
Space-group type ... No. 166

[6]
ThZr2Sc: optimized geometry, PBE.

Unit cell a=5.677 b=3.337 c=10.958 alpha=90.00 beta=99.13 gamma=90.00
Fractional positions:
Th  0.121  0.250  0.133
Th  0.879  0.750  0.867
Zr  0.044  0.750  0.384
Zr  0.458  0.750  0.619
Zr  0.542  0.250  0.381
Zr  0.956  0.250  0.616
Sc  0.369  0.250  0.862
Sc  0.631  0.750  0.138

Summary:
Crystal system ... monoclinic
Uncorrected energy ... -7.630 eV/atom
Space-group type ... No. 11

[7]
Th5ZrSc4: optimized geometry, PBE.

Unit cell a=3.445 b=3.445 c=23.863 alpha=90.00 beta=90.00 gamma=90.00
Fractional positions:
Th  0.000  0.000  0.000
Th  0.000  0.000  0.200
Th  0.000  0.000  0.402
Th  0.000  0.000  0.598
Th  0.000  0.000  0.800
Zr  0.500  0.500  0.500
Sc  0.500  0.500  0.100
Sc  0.500  0.500  0.299
Sc  0.500  0.500  0.701
Sc  0.500  0.500  0.900

Summary:
Crystal system ... tetragonal
Uncorrected energy ... -7.049 eV/atom
Space-group type ... No. 123

[8]
Th2ZrSc8: optimized geometry, PBE.

Unit cell a=8.317 b=8.317 c=6.237 alpha=100.99 beta=100.99 gamma=42.87
Fractional positions:
Th  0.244  0.244  0.334
Th  0.756  0.756  0.666
Zr  0.000  0.000  0.000
Sc  0.181  0.664  0.602
Sc  0.185  0.185  0.812
Sc  0.336  0.819  0.398
Sc  0.406  0.406  0.073
Sc  0.594  0.594  0.927
Sc  0.664  0.181  0.602
Sc  0.815  0.815  0.188
Sc  0.819  0.336  0.398

Summary:
Crystal system ... monoclinic
Uncorrected energy ... -6.525 eV/atom
Space-group type ... No. 12

[9]
ThZrSc14: optimized geometry, PBE.

Unit cell a=6.551 b=6.551 c=9.210 alpha=90.00 beta=90.00 gamma=90.00
Fractional positions:
Th  0.000  0.000  0.000
Zr  0.500  0.500  0.000
Sc  0.000  0.000  0.500
Sc  0.000  0.500  0.000
Sc  0.000  0.500  0.500
Sc  0.254  0.254  0.248
Sc  0.254  0.254  0.752
Sc  0.254  0.746  0.248
Sc  0.254  0.746  0.752
Sc  0.500  0.000  0.000
Sc  0.500  0.000  0.500
Sc  0.500  0.500  0.500
Sc  0.746  0.254  0.248
Sc  0.746  0.254  0.752
Sc  0.746  0.746  0.248
Sc  0.746  0.746  0.752

Summary:
Crystal system ... tetragonal
Uncorrected energy ... -6.501 eV/atom
Space-group type ... No. 123

[10]
Th3ZrSc7: optimized geometry, PBE.

Unit cell a=6.690 b=6.690 c=7.905 alpha=90.00 beta=90.00 gamma=120.00
Fractional positions:
Th  0.168  0.335  0.000
Th  0.168  0.832  0.000
Th  0.665  0.832  0.000
Zr  0.000  0.000  0.330
Sc  0.330  0.165  0.658
Sc  0.333  0.667  0.662
Sc  0.500  0.001  0.337
Sc  0.500  0.500  0.337
Sc  0.835  0.165  0.658
Sc  0.835  0.670  0.658
Sc  0.999  0.500  0.337

Summary:
Crystal system ... trigonal
Uncorrected energy ... -6.617 eV/atom
Space-group type ... No. 156

[11]
Th2ZrSc4: optimized geometry, PBE.

Unit cell a=3.385 b=3.385 c=18.782 alpha=95.16 beta=95.16 gamma=59.98
Fractional positions:
Th  0.000  0.000  0.000
Th  0.098  0.098  0.298
Zr  0.191  0.191  0.579
Sc  0.282  0.282  0.851
Sc  0.383  0.383  0.153
Sc  0.814  0.814  0.445
Sc  0.902  0.902  0.712

Summary:
Crystal system ... monoclinic
Uncorrected energy ... -6.918 eV/atom
Space-group type ... No. 8

[12]
ThZr2Sc: optimized geometry, PBE.

Unit cell a=10.915 b=10.915 c=10.915 alpha=17.48 beta=17.48 gamma=17.48
Fractional positions:
Th  0.000  0.000  0.000
Zr  0.247  0.247  0.247
Zr  0.420  0.420  0.420
Sc  0.833  0.833  0.833

Summary:
Crystal system ... trigonal
Uncorrected energy ... -7.617 eV/atom
Space-group type ... No. 160

| no. | energy relative to the elements (eV/atom) |
| --- | --- |
| 1 | 0.020 |
| 2 | 0.029 |
| 3 | 0.213 |
| 4 | 0.032 |
| 5 | 0.452 |
| 6 | 0.082 |
| 7 | 0.048 |
| 8 | 0.206 |
| 9 | 0.037 |
| 10 | 0.213 |
| 11 | 0.041 |
| 12 | 0.095 |